The following is a PBE calculation of K2HgPdBr6 after structural relaxation, from the Alexandria database.

a = 7.982 Å, b = 7.807 Å, c = 10.870 Å
α = 90.00°, β = 88.20°, γ = 90.00°
Fractional positions:
1 K 0.010 0.973 0.260
2 K 0.510 0.527 0.760
3 K 0.990 0.027 0.740
4 K 0.490 0.473 0.240
5 Hg 0.500 0.000 0.000
6 Hg 0.000 0.500 0.500
7 Pd 0.500 0.000 0.500
8 Pd 0.000 0.500 0.000
9 Br 0.297 0.755 0.032
10 Br 0.797 0.745 0.532
11 Br 0.703 0.245 0.968
12 Br 0.203 0.255 0.468
13 Br 0.311 0.769 0.427
14 Br 0.811 0.731 0.927
15 Br 0.689 0.231 0.573
16 Br 0.189 0.269 0.073
17 Br 0.904 0.561 0.215
18 Br 0.404 0.939 0.715
19 Br 0.096 0.439 0.785
20 Br 0.596 0.061 0.285

- Calculated density: 4.24 g/cm³
- Total DFT energy (no corrections): -2.695 eV/atom
- Crystal system: monoclinic
- Magnetization: 0.0 Bohr magnetons per cell

The following is a PBE calculation of KHg2PdBr8 after structural relaxation, from the Alexandria database.

a = 6.867 Å, b = 7.415 Å, c = 9.184 Å
α = 69.74°, β = 85.37°, γ = 97.18°
Site moments in Bohr magnetons follow the coordinates.
Fractional positions:
1 K 0.000 0.000 0.500  0.00
2 Hg 0.486 0.264 0.706  0.01
3 Hg 0.514 0.736 0.294  0.01
4 Pd 0.000 0.000 0.000  0.47
5 Br 0.130 0.760 0.269  0.15
6 Br 0.727 0.723 0.038  0.03
7 Br 0.786 0.123 0.166  0.01
8 Br 0.870 0.240 0.731  0.15
9 Br 0.273 0.277 0.962  0.03
10 Br 0.214 0.877 0.834  0.01
11 Br 0.556 0.708 0.585  0.02
12 Br 0.444 0.292 0.415  0.02

- Calculated density: 4.56 g/cm³
- Total DFT energy (no corrections): -2.266 eV/atom
- Crystal system: triclinic
- Magnetization: 1.1 Bohr magnetons per cell
- Fermi-level density of states: 0.4 states/eV per cell

The following is a PBE calculation of KPmHg2Br8 after structural relaxation, from the Alexandria database.

a = 6.912 Å, b = 8.059 Å, c = 9.700 Å
α = 69.00°, β = 88.55°, γ = 97.35°
Fractional positions:
1 K 0.000 0.000 0.500
2 Pm 0.000 0.000 0.000
3 Hg 0.436 0.260 0.699
4 Hg 0.564 0.740 0.301
5 Br 0.170 0.802 0.270
6 Br 0.689 0.691 0.065
7 Br 0.774 0.126 0.182
8 Br 0.830 0.198 0.730
9 Br 0.311 0.309 0.935
10 Br 0.226 0.874 0.818
11 Br 0.596 0.698 0.572
12 Br 0.404 0.302 0.428

- Calculated density: 4.08 g/cm³
- Total DFT energy (no corrections): -2.776 eV/atom
- Crystal system: triclinic
- Magnetization: 0.0 Bohr magnetons per cell
- Fermi-level density of states: 0.0 states/eV per cell

The following is a PBE calculation of KHgPtBr6 after structural relaxation, from the Alexandria database.

a = 7.464 Å, b = 6.989 Å, c = 7.201 Å
α = 88.08°, β = 86.31°, γ = 57.68°
Site moments in Bohr magnetons follow the coordinates.
Fractional positions:
1 K 0.999 0.002 0.000  0.00
2 Hg 0.683 0.635 0.500  0.00
3 Pt 0.333 0.334 0.500  0.50
4 Br 0.029 0.361 0.271  0.15
5 Br 0.354 0.029 0.706  0.01
6 Br 0.610 0.362 0.729  0.15
7 Br 0.027 0.625 0.701  0.02
8 Br 0.348 0.624 0.299  0.02
9 Br 0.618 0.029 0.294  0.01

- Calculated density: 4.79 g/cm³
- Total DFT energy (no corrections): -2.537 eV/atom
- Crystal system: triclinic
- Magnetization: 1.0 Bohr magnetons per cell
- Fermi-level density of states: 0.1 states/eV per cell

The following is a PBE calculation of K2HgPtBr6 after structural relaxation, from the Alexandria database.

a = 7.399 Å, b = 7.399 Å, c = 17.944 Å
α = 78.10°, β = 78.10°, γ = 60.00°
Fractional positions:
1 K 0.856 0.856 0.432
2 K 0.144 0.144 0.568
3 K 0.687 0.687 0.939
4 K 0.313 0.313 0.061
5 Hg 0.591 0.591 0.226
6 Hg 0.409 0.409 0.774
7 Pt 0.000 0.000 0.000
8 Pt 0.500 0.500 0.500
9 Br 0.847 0.368 0.417
10 Br 0.368 0.847 0.417
11 Br 0.368 0.368 0.417
12 Br 0.153 0.632 0.583
13 Br 0.632 0.153 0.583
14 Br 0.632 0.632 0.583
15 Br 0.711 0.187 0.915
16 Br 0.187 0.711 0.915
17 Br 0.187 0.187 0.915
18 Br 0.289 0.813 0.085
19 Br 0.813 0.289 0.085
20 Br 0.813 0.813 0.085

- Calculated density: 3.83 g/cm³
- Total DFT energy (no corrections): -2.700 eV/atom
- Crystal system: trigonal
- Magnetization: 0.0 Bohr magnetons per cell

The following is a PBE calculation of KPu3Hg2Br12 after structural relaxation, from the Alexandria database.

a = 9.416 Å, b = 9.416 Å, c = 9.416 Å
α = 69.92°, β = 69.92°, γ = 69.92°
Site moments in Bohr magnetons follow the coordinates.
Fractional positions:
1 K 0.000 0.000 0.000  0.00
2 Pu 0.500 0.000 0.000  -4.78
3 Pu 0.000 0.500 0.000  -4.78
4 Pu 0.000 0.000 0.500  -4.78
5 Hg 0.577 0.577 0.577  0.08
6 Hg 0.423 0.423 0.423  0.08
7 Br 0.265 0.265 0.888  0.07
8 Br 0.845 0.845 0.437  0.12
9 Br 0.437 0.845 0.845  0.12
10 Br 0.888 0.265 0.265  0.07
11 Br 0.845 0.437 0.845  0.12
12 Br 0.265 0.888 0.265  0.07
13 Br 0.735 0.735 0.112  0.07
14 Br 0.155 0.155 0.563  0.12
15 Br 0.563 0.155 0.155  0.12
16 Br 0.112 0.735 0.735  0.07
17 Br 0.155 0.563 0.155  0.12
18 Br 0.735 0.112 0.735  0.07

- Calculated density: 4.97 g/cm³
- Total DFT energy (no corrections): -4.810 eV/atom
- Crystal system: trigonal
- Magnetization: 13.0 Bohr magnetons per cell
- Fermi-level density of states: 29.3 states/eV per cell

The following is a PBE calculation of K2PuHgBr6 after structural relaxation, from the Alexandria database.

a = 8.775 Å, b = 8.775 Å, c = 8.775 Å
α = 55.45°, β = 55.45°, γ = 55.45°
Site moments in Bohr magnetons follow the coordinates.
Fractional positions:
1 K 0.207 0.207 0.207  0.00
2 K 0.685 0.685 0.685  0.00
3 Pu 0.013 0.013 0.013  4.57
4 Hg 0.505 0.505 0.505  -0.07
5 Br 0.364 0.081 0.819  -0.07
6 Br 0.081 0.819 0.364  -0.07
7 Br 0.936 0.226 0.664  -0.07
8 Br 0.664 0.936 0.226  -0.07
9 Br 0.819 0.364 0.081  -0.07
10 Br 0.226 0.664 0.936  -0.07

- Calculated density: 3.89 g/cm³
- Total DFT energy (no corrections): -4.045 eV/atom
- Crystal system: trigonal
- Magnetization: 4.0 Bohr magnetons per cell
- Fermi-level density of states: 6.1 states/eV per cell

The following is a PBE calculation of K2RbHgBr5 after structural relaxation, from the Alexandria database.

a = 5.474 Å, b = 7.940 Å, c = 9.312 Å
α = 115.23°, β = 107.09°, γ = 90.00°
Fractional positions:
1 K 0.204 0.204 0.407
2 K 0.796 0.796 0.593
3 Rb 0.000 0.500 0.000
4 Hg 0.500 0.000 0.000
5 Br 0.630 0.881 0.261
6 Br 0.370 0.119 0.739
7 Br 0.370 0.620 0.739
8 Br 0.630 0.380 0.261
9 Br 0.000 0.000 0.000

- Calculated density: 3.66 g/cm³
- Total DFT energy (no corrections): -2.591 eV/atom
- Crystal system: orthorhombic
- Magnetization: 0.0 Bohr magnetons per cell

The following is a PBE calculation of KRbHgBr4 after structural relaxation, from the Alexandria database.

a = 7.846 Å, b = 7.794 Å, c = 9.491 Å
α = 90.00°, β = 107.56°, γ = 90.00°
Fractional positions:
1 K 0.777 0.750 0.442
2 K 0.223 0.250 0.558
3 Rb 0.756 0.750 0.942
4 Rb 0.244 0.250 0.058
5 Hg 0.238 0.750 0.315
6 Hg 0.762 0.250 0.685
7 Br 0.002 0.508 0.744
8 Br 0.998 0.008 0.256
9 Br 0.998 0.492 0.256
10 Br 0.002 0.992 0.744
11 Br 0.429 0.750 0.126
12 Br 0.571 0.250 0.874
13 Br 0.441 0.750 0.593
14 Br 0.559 0.250 0.407

- Calculated density: 3.87 g/cm³
- Total DFT energy (no corrections): -2.500 eV/atom
- Crystal system: monoclinic
- Magnetization: 0.0 Bohr magnetons per cell
- Fermi-level density of states: 0.0 states/eV per cell

The following is a PBE calculation of KRb2Hg2Br7 after structural relaxation, from the Alexandria database.

a = 5.675 Å, b = 5.675 Å, c = 14.494 Å
α = 78.75°, β = 78.75°, γ = 90.00°
Fractional positions:
1 K 0.000 0.000 0.000
2 Rb 0.823 0.823 0.351
3 Rb 0.177 0.177 0.649
4 Hg 0.602 0.602 0.796
5 Hg 0.398 0.398 0.204
6 Br 0.500 0.500 0.000
7 Br 0.302 0.302 0.400
8 Br 0.698 0.698 0.600
9 Br 0.906 0.405 0.187
10 Br 0.405 0.906 0.187
11 Br 0.595 0.094 0.813
12 Br 0.094 0.595 0.813

- Calculated density: 4.33 g/cm³
- Total DFT energy (no corrections): -2.340 eV/atom
- Crystal system: monoclinic
- Magnetization: 0.0 Bohr magnetons per cell
- Fermi-level density of states: 2.6 states/eV per cell

The following is a PBE calculation of K2RbHgBr after structural relaxation, from the Alexandria database.

a = 6.373 Å, b = 6.373 Å, c = 6.743 Å
α = 90.00°, β = 90.00°, γ = 90.00°
Fractional positions:
1 K 0.000 0.500 0.000
2 K 0.500 0.000 0.000
3 Br 0.000 0.000 0.000
4 Hg 0.500 0.500 0.500
5 Rb 0.000 0.000 0.500

- Calculated density: 2.69 g/cm³
- Total DFT energy (no corrections): -1.674 eV/atom
- Crystal system: tetragonal
- Magnetization: 0.0 Bohr magnetons per cell
- Fermi-level density of states: 3.7 states/eV per cell

The following is a PBE calculation of K2RbHgBr4 after structural relaxation, from the Alexandria database.

a = 5.190 Å, b = 8.046 Å, c = 16.113 Å
α = 90.00°, β = 90.00°, γ = 108.82°
Fractional positions:
1 K 0.372 0.743 0.550
2 K 0.628 0.257 0.050
3 K 0.628 0.257 0.450
4 K 0.372 0.743 0.950
5 Rb 0.139 0.279 0.750
6 Rb 0.861 0.721 0.250
7 Hg 0.886 0.772 0.750
8 Hg 0.114 0.228 0.250
9 Br 0.261 0.523 0.124
10 Br 0.739 0.477 0.624
11 Br 0.739 0.477 0.876
12 Br 0.261 0.523 0.376
13 Br 0.000 0.000 0.500
14 Br 0.000 0.000 0.000
15 Br 0.450 0.899 0.750
16 Br 0.550 0.101 0.250

- Calculated density: 3.57 g/cm³
- Total DFT energy (no corrections): -2.584 eV/atom
- Crystal system: orthorhombic
- Magnetization: 0.0 Bohr magnetons per cell
- Fermi-level density of states: 2.7 states/eV per cell

The following is a PBE calculation of KRb2Hg2Br6 after structural relaxation, from the Alexandria database.

a = 8.403 Å, b = 8.074 Å, c = 9.213 Å
α = 113.62°, β = 90.00°, γ = 121.36°
Fractional positions:
1 K 0.500 0.000 0.500
2 Rb 0.720 0.441 0.179
3 Rb 0.280 0.559 0.821
4 Hg 0.962 0.924 0.829
5 Hg 0.038 0.076 0.171
6 Br 0.761 0.521 0.581
7 Br 0.189 0.846 0.177
8 Br 0.343 0.154 0.823
9 Br 0.811 0.154 0.823
10 Br 0.657 0.846 0.177
11 Br 0.239 0.479 0.419

- Calculated density: 3.84 g/cm³
- Total DFT energy (no corrections): -2.325 eV/atom
- Crystal system: monoclinic
- Magnetization: 0.0 Bohr magnetons per cell
- Fermi-level density of states: 5.1 states/eV per cell

The following is a PBE calculation of KRb2HgBr after structural relaxation, from the Alexandria database.

a = 6.740 Å, b = 6.740 Å, c = 6.368 Å
α = 90.00°, β = 90.00°, γ = 90.00°
Fractional positions:
1 K 0.000 0.000 0.500
2 Br 0.000 0.000 0.000
3 Hg 0.500 0.500 0.500
4 Rb 0.000 0.500 0.000
5 Rb 0.500 0.000 0.000

- Calculated density: 2.82 g/cm³
- Total DFT energy (no corrections): -1.652 eV/atom
- Crystal system: tetragonal
- Magnetization: 0.0 Bohr magnetons per cell
- Fermi-level density of states: 3.5 states/eV per cell

The following is a PBE calculation of KRbHg2Br6 after structural relaxation, from the Alexandria database.

a = 7.941 Å, b = 7.941 Å, c = 9.393 Å
α = 89.99°, β = 114.97°, γ = 119.99°
Fractional positions:
1 K 0.017 0.008 0.011
2 Rb 0.017 0.508 0.511
3 Hg 0.489 0.744 0.219
4 Hg 0.505 0.252 0.742
5 Br 0.543 0.948 0.729
6 Br 0.517 0.082 0.212
7 Br 0.791 0.708 0.212
8 Br 0.144 0.434 0.212
9 Br 0.794 0.593 0.728
10 Br 0.149 0.199 0.728

- Calculated density: 3.73 g/cm³
- Total DFT energy (no corrections): -2.233 eV/atom
- Crystal system: triclinic
- Magnetization: 0.0 Bohr magnetons per cell
- Fermi-level density of states: 0.0 states/eV per cell

The following is a PBE calculation of K3RbHg4Br12 after structural relaxation, from the Alexandria database.

a = 10.205 Å, b = 10.205 Å, c = 10.205 Å
α = 103.78°, β = 103.78°, γ = 103.78°
Fractional positions:
1 K 0.539 0.461 0.000
2 K 0.461 0.000 0.539
3 K 0.000 0.539 0.461
4 Rb 0.000 0.000 0.000
5 Hg 0.952 0.048 0.500
6 Hg 0.048 0.500 0.952
7 Hg 0.500 0.952 0.048
8 Hg 0.500 0.500 0.500
9 Br 0.500 0.340 0.660
10 Br 0.887 0.500 0.113
11 Br 0.113 0.887 0.500
12 Br 0.500 0.113 0.887
13 Br 0.327 0.956 0.196
14 Br 0.196 0.327 0.956
15 Br 0.956 0.196 0.327
16 Br 0.673 0.804 0.044
17 Br 0.044 0.673 0.804
18 Br 0.804 0.044 0.673
19 Br 0.660 0.500 0.340
20 Br 0.340 0.660 0.500

- Calculated density: 3.42 g/cm³
- Total DFT energy (no corrections): -2.224 eV/atom
- Crystal system: trigonal
- Magnetization: 0.0 Bohr magnetons per cell
- Fermi-level density of states: 0.0 states/eV per cell

The following is a PBE calculation of KRb2HgBr6 after structural relaxation, from the Alexandria database.

a = 8.295 Å, b = 8.295 Å, c = 8.296 Å
α = 60.00°, β = 60.00°, γ = 90.00°
Site moments in Bohr magnetons follow the coordinates.
Fractional positions:
1 K 0.500 0.500 0.000  0.01
2 Br 0.235 0.235 0.529  0.11
3 Br 0.765 0.765 0.471  0.11
4 Br 0.235 0.235 0.000  0.11
5 Br 0.765 0.765 0.000  0.11
6 Br 0.765 0.235 0.000  0.11
7 Br 0.235 0.765 0.000  0.11
8 Hg 0.000 0.000 0.000  0.09
9 Rb 0.750 0.250 0.500  0.00
10 Rb 0.250 0.750 0.500  0.00

- Calculated density: 3.66 g/cm³
- Total DFT energy (no corrections): -2.394 eV/atom
- Crystal system: cubic
- Magnetization: 1.0 Bohr magnetons per cell
- Fermi-level density of states: 11.2 states/eV per cell

The following is a PBE calculation of K3Rb3HgBr8 after structural relaxation, from the Alexandria database.

a = 9.500 Å, b = 9.495 Å, c = 9.655 Å
α = 119.48°, β = 90.00°, γ = 120.02°
Fractional positions:
1 K 0.500 0.000 0.500
2 K 0.500 0.500 0.500
3 K 0.000 0.500 0.500
4 Rb 0.000 0.000 0.000
5 Rb 0.000 0.500 0.000
6 Rb 0.500 0.500 0.000
7 Hg 0.000 0.000 0.500
8 Br 0.254 0.508 0.263
9 Br 0.746 0.492 0.737
10 Br 0.785 0.569 0.292
11 Br 0.215 0.431 0.708
12 Br 0.785 0.007 0.292
13 Br 0.215 0.993 0.708
14 Br 0.222 0.007 0.292
15 Br 0.778 0.993 0.708

- Calculated density: 3.25 g/cm³
- Total DFT energy (no corrections): -2.807 eV/atom
- Crystal system: monoclinic
- Magnetization: 0.0 Bohr magnetons per cell
- Fermi-level density of states: 0.0 states/eV per cell

The following is a PBE calculation of KReHgBr6 after structural relaxation, from the Alexandria database.

a = 7.862 Å, b = 7.862 Å, c = 11.800 Å
α = 90.00°, β = 90.00°, γ = 120.00°
Site moments in Bohr magnetons follow the coordinates.
Fractional positions:
1 K 0.333 0.667 0.250  0.00
2 K 0.667 0.333 0.750  0.00
3 Re 0.667 0.333 0.250  1.88
4 Re 0.333 0.667 0.750  1.88
5 Hg 0.000 0.000 0.000  -0.15
6 Hg 0.000 0.000 0.500  -0.15
7 Br 0.666 0.594 0.125  0.02
8 Br 0.928 0.334 0.125  0.02
9 Br 0.334 0.928 0.625  0.02
10 Br 0.072 0.666 0.875  0.02
11 Br 0.406 0.334 0.375  0.02
12 Br 0.928 0.594 0.375  0.02
13 Br 0.594 0.928 0.875  0.02
14 Br 0.666 0.072 0.375  0.02
15 Br 0.072 0.406 0.625  0.02
16 Br 0.406 0.072 0.125  0.02
17 Br 0.594 0.666 0.625  0.02
18 Br 0.334 0.406 0.875  0.02

- Calculated density: 4.76 g/cm³
- Total DFT energy (no corrections): -3.206 eV/atom
- Crystal system: trigonal
- Magnetization: 4.2 Bohr magnetons per cell
- Fermi-level density of states: 7.0 states/eV per cell

The following is a PBE calculation of KHg2RhBr8 after structural relaxation, from the Alexandria database.

a = 6.821 Å, b = 7.401 Å, c = 9.229 Å
α = 65.63°, β = 89.66°, γ = 96.64°
Fractional positions:
1 K 0.000 0.000 0.500
2 Hg 0.472 0.240 0.717
3 Hg 0.528 0.760 0.283
4 Rh 0.000 0.000 0.000
5 Br 0.122 0.770 0.261
6 Br 0.717 0.735 0.038
7 Br 0.798 0.141 0.147
8 Br 0.878 0.230 0.739
9 Br 0.283 0.265 0.962
10 Br 0.202 0.859 0.853
11 Br 0.556 0.708 0.581
12 Br 0.444 0.292 0.419

- Calculated density: 4.67 g/cm³
- Total DFT energy (no corrections): -2.507 eV/atom
- Crystal system: triclinic
- Magnetization: 0.0 Bohr magnetons per cell